Density functional theory data (PBE-GGA) for a relaxed Cr2SiTc crystal.

```
Cr2SiTc
1.0
2.651 0.000 0.000
0.000 4.013 0.000
-1.167 0.000 4.720
Cr Si Tc
2 1 1
Cartesian
-0.245 0.000 1.092
1.729 0.000 3.627
1.326 2.007 0.000
0.742 2.007 2.360
```

Output
**Calculated total energy**: -8.8725 eV/atom
**Uncorrected formation energy**: -0.1136 eV/atom


Density functional theory data (PBE-GGA) for a relaxed Cr2SiTc crystal.

```
Cr2SiTc
1.0
2.722 0.000 0.000
0.000 3.820 0.000
0.000 0.000 4.881
Cr Si Tc
2 1 1
Cartesian
0.000 0.000 0.000
1.361 1.910 1.267
0.000 0.000 2.400
1.361 1.910 3.612
```

Output
**Calculated total energy**: -8.8106 eV/atom
**Uncorrected formation energy**: -0.0517 eV/atom


Density functional theory data (PBE-GGA) for a relaxed CrSiTc2 crystal.

```
CrSiTc2
1.0
-1.323 1.978 5.815
1.323 -1.978 5.815
1.323 1.978 -5.815
Cr Si Tc
1 1 2
Cartesian
0.000 0.000 0.000
0.000 0.000 5.815
0.000 0.000 2.342
0.000 0.000 9.287
```

Output
**Calculated total energy**: -8.5199 eV/atom
**Uncorrected formation energy**: 0.4246 eV/atom


Density functional theory data (PBE-GGA) for a relaxed CrSi2Tc crystal.

```
CrSi2Tc
1.0
1.402 0.810 7.815
-1.402 0.810 7.815
0.000 -1.619 7.815
Cr Si Tc
1 2 1
Cartesian
0.000 0.000 0.000
0.000 0.000 11.676
0.000 0.000 17.487
0.000 0.000 5.820
```

Output
**Calculated total energy**: -7.7242 eV/atom
**Uncorrected formation energy**: -0.0153 eV/atom


Density functional theory data (PBE-GGA) for a relaxed Cr2SiTc crystal.

```
Cr2SiTc
1.0
-1.488 1.975 4.201
1.488 -1.975 4.201
1.488 1.975 -4.201
Cr Si Tc
2 1 1
Cartesian
0.000 0.000 2.097
0.000 0.000 6.306
0.000 1.975 0.000
1.488 0.000 0.000
```

Output
**Calculated total energy**: -9.0281 eV/atom
**Uncorrected formation energy**: -0.2692 eV/atom


Density functional theory data (PBE-GGA) for a relaxed CrSiTc crystal.

```
CrSiTc
1.0
1.953 -6.739 0.000
1.953 6.739 0.000
0.000 0.000 2.977
Cr Si Tc
2 2 2
Cartesian
1.953 3.371 2.233
1.953 -3.371 0.744
1.953 5.379 0.744
1.953 -5.379 2.233
1.953 1.257 0.744
1.953 -1.257 2.233
```

Output
**Calculated total energy**: -8.7320 eV/atom
**Uncorrected formation energy**: -0.2612 eV/atom
**Energy above the lowest structure with this stoichiometry**: 132.5 meV per atom


Density functional theory data (PBE-GGA) for a relaxed CrSiTc2 crystal.

```
CrSiTc2
1.0
2.961 0.000 0.000
0.000 2.961 0.000
0.000 0.000 5.995
Cr Si Tc
1 1 2
Cartesian
0.000 0.000 0.000
0.000 0.000 2.997
1.481 1.481 1.525
1.481 1.481 4.470
```

Output
**Calculated total energy**: -9.1894 eV/atom
**Uncorrected formation energy**: -0.2448 eV/atom


Density functional theory data (PBE-GGA) for a relaxed CrSi2Tc crystal.

```
CrSi2Tc
1.0
0.000 2.966 2.966
2.966 0.000 2.966
2.966 2.966 0.000
Cr Si Tc
1 2 1
Cartesian
0.000 0.000 0.000
1.483 1.483 1.483
2.966 2.966 2.966
4.448 4.448 4.448
```

Output
**Calculated total energy**: -7.6256 eV/atom
**Uncorrected formation energy**: 0.0832 eV/atom


Density functional theory data (PBE-GGA) for a relaxed CrSi2Tc crystal.

```
CrSi2Tc
1.0
1.383 0.798 7.881
-1.383 0.798 7.881
0.000 -1.597 7.881
Cr Si Tc
1 2 1
Cartesian
0.000 0.000 0.000
0.000 0.000 5.969
0.000 0.000 17.675
0.000 0.000 11.822
```

Output
**Calculated total energy**: -7.8187 eV/atom
**Uncorrected formation energy**: -0.1099 eV/atom


Density functional theory data (PBE-GGA) for a relaxed Cr2SiTc crystal.

```
Cr2SiTc
1.0
-2.062 2.062 2.912
2.062 -2.062 2.912
2.062 2.062 -2.912
Cr Si Tc
2 1 1
Cartesian
0.000 0.000 0.000
0.000 2.062 1.456
2.062 0.000 1.456
0.000 0.000 2.912
```

Output
**Calculated total energy**: -8.9590 eV/atom
**Uncorrected formation energy**: -0.2001 eV/atom


Density functional theory data (PBE-GGA) for a relaxed Cr2SiTc crystal.

```
Cr2SiTc
1.0
2.713 0.000 0.000
0.000 3.824 0.000
0.000 0.000 4.880
Cr Si Tc
2 1 1
Cartesian
0.000 0.000 1.111
0.000 0.000 3.769
1.357 1.912 0.000
1.357 1.912 2.440
```

Output
**Calculated total energy**: -8.8669 eV/atom
**Uncorrected formation energy**: -0.1079 eV/atom


Density functional theory data (PBE-GGA) for a relaxed CrSi2Tc crystal.

```
CrSi2Tc
1.0
-1.490 2.302 3.806
1.490 -2.302 3.806
1.490 2.302 -3.806
Cr Si Tc
1 2 1
Cartesian
0.000 0.000 0.000
1.490 0.000 1.845
0.000 2.302 1.961
0.000 0.000 3.806
```

Output
**Calculated total energy**: -7.7890 eV/atom
**Uncorrected formation energy**: -0.0802 eV/atom


Density functional theory data (PBE-GGA) for a relaxed CrSiTc2 crystal.

```
CrSiTc2
1.0
1.490 -2.221 0.000
1.490 2.221 0.000
0.000 0.000 8.164
Cr Si Tc
1 1 2
Cartesian
0.000 0.000 0.000
1.490 0.000 6.283
0.000 0.000 4.304
1.490 0.000 2.035
```

Output
**Calculated total energy**: -8.8502 eV/atom
**Uncorrected formation energy**: 0.0944 eV/atom


Density functional theory data (PBE-GGA) for a relaxed CrSiTc4 crystal.

```
CrSiTc4
1.0
0.000 3.580 3.580
3.580 0.000 3.580
3.580 3.580 0.000
Cr Si Tc
1 1 4
Cartesian
0.000 0.000 0.000
5.370 5.370 5.370
2.688 2.688 2.688
4.472 4.472 2.688
4.472 2.688 4.472
2.688 4.472 4.472
```

Output
**Calculated total energy**: -8.9377 eV/atom
**Uncorrected formation energy**: 0.4807 eV/atom


Density functional theory data (PBE-GGA) for a relaxed CrSi2Tc crystal.

```
CrSi2Tc
1.0
2.815 0.000 0.000
0.000 3.775 0.000
-0.523 0.000 5.025
Cr Si Tc
1 2 1
Cartesian
0.000 0.000 0.000
0.085 1.888 3.735
2.207 1.888 1.289
1.146 0.000 2.512
```

Output
**Calculated total energy**: -7.7885 eV/atom
**Uncorrected formation energy**: -0.0797 eV/atom


Density functional theory data (PBE-GGA) for a relaxed Cr2SiTc crystal.

```
Cr2SiTc
1.0
3.001 0.000 0.000
0.000 3.960 0.000
0.000 0.000 4.286
Cr Si Tc
2 1 1
Cartesian
0.000 0.000 0.000
1.500 1.980 0.000
0.000 1.980 2.143
1.500 0.000 2.143
```

Output
**Calculated total energy**: -8.9438 eV/atom
**Uncorrected formation energy**: -0.1849 eV/atom


Density functional theory data (PBE-GGA) for a relaxed CrSi2Tc crystal.

```
CrSi2Tc
1.0
4.006 -1.401 0.000
4.006 1.401 0.000
-0.910 0.000 4.640
Cr Si Tc
1 2 1
Cartesian
0.000 0.000 0.000
1.317 0.000 3.558
5.784 0.000 1.083
3.551 0.000 2.320
```

Output
**Calculated total energy**: -7.8257 eV/atom
**Uncorrected formation energy**: -0.1169 eV/atom


Density functional theory data (PBE-GGA) for a relaxed Cr2SiTc crystal.

```
Cr2SiTc
1.0
1.506 -2.170 0.000
1.506 2.170 0.000
0.000 0.000 7.795
Cr Si Tc
2 1 1
Cartesian
0.000 0.000 0.000
1.506 0.000 1.864
1.506 0.000 5.925
0.000 0.000 3.921
```

Output
**Calculated total energy**: -8.7041 eV/atom
**Uncorrected formation energy**: 0.0548 eV/atom


Density functional theory data (PBE-GGA) for a relaxed CrSiTc crystal.

```
CrSiTc
1.0
2.018 1.165 6.033
-2.018 1.165 6.033
0.000 -2.330 6.033
Cr Si Tc
2 2 2
Cartesian
0.000 0.000 2.465
0.000 0.000 15.633
0.000 0.000 5.255
0.000 0.000 12.843
0.000 0.000 7.743
0.000 0.000 10.355
```

Output
**Calculated total energy**: -8.4497 eV/atom
**Uncorrected formation energy**: 0.0211 eV/atom
**Energy above the lowest structure with this stoichiometry**: 414.8 meV per atom


Density functional theory data (PBE-GGA) for a relaxed CrSiTc3 crystal.

```
CrSiTc3
1.0
4.335 0.000 0.000
0.000 4.335 0.000
0.000 0.000 4.335
Cr Si Tc
1 1 3
Cartesian
0.000 0.000 0.000
2.167 2.167 2.167
0.000 2.167 2.167
2.167 0.000 2.167
2.167 2.167 0.000
```

Output
**Calculated total energy**: -8.1524 eV/atom
**Uncorrected formation energy**: 1.0764 eV/atom
**Energy above the lowest structure with this stoichiometry**: 0.0 meV per atom